First-principles (PBE) data for Hf3Tc2Os after structural relaxation, as listed in the Alexandria database.

As for the formation energy: -3.37 eV per formula unit. The total energy is -10.865 eV/atom.

a = 3.253 Å, b = 3.253 Å, c = 9.810 Å
α = 90.00°, β = 90.00°, γ = 90.00°
Fractional coordinates of all 6 atoms:
Hf (0.000, 0.000, 0.333)
Hf (0.000, 0.000, 0.667)
Hf (0.000, 0.000, 0.000)
Os (0.500, 0.500, 0.500)
Tc (0.500, 0.500, 0.833)
Tc (0.500, 0.500, 0.167)

***

First-principles (PBE) data for MgCl2 after structural relaxation, as listed in the Alexandria database.

As for the uncorrected formation energy: -1.739 eV per atom. The total energy is -3.501 eV/atom.

a = 6.334 Å, b = 7.082 Å, c = 7.080 Å
α = 65.44°, β = 63.72°, γ = 64.06°
Fractional coordinates of all 6 atoms:
Cl (0.179, 0.090, 0.094)
Cl (0.500, 0.500, 0.000)
Cl (0.500, 0.000, 0.500)
Cl (0.821, 0.910, 0.906)
Mg (0.505, 0.135, 0.135)
Mg (0.495, 0.865, 0.865)